[1]
## Rb2NpSc3O8 (PBE-GGA)

Data for crystalline Rb2NpSc3O8 at its relaxed geometry.

Results
Crystal system ... trigonal
Formation energy without anion corrections ... -38.51 eV per formula unit

Lattice parameters (Å, degrees): 6.7553 6.7553 20.2237 90.00 90.00 120.00
Space group R3m (No. 160, hexagonal axes)
Unique sites:
1 Rb 0.0000 0.0000 0.0000 x3
2 Rb 0.0000 0.0000 0.3611 x3
3 Np 0.0000 0.0000 0.5370 x3
4 Sc 0.1822 0.3644 0.8421 x9
5 O 0.0000 0.0000 0.2277 x3
6 O 0.0000 0.0000 0.6307 x3
7 O 0.0115 0.5057 0.7938 x9
8 O 0.1903 0.3806 0.5466 x9

=====

[2]
## DyPuGe2 (PBE-GGA)

Data for crystalline DyPuGe2 at its relaxed geometry.

Results
Energy of formation ... -0.62 eV per atom
E above lowest polymorph ... 0.000 eV per atom
Crystal system ... orthorhombic

Lattice parameters (Å, degrees): 3.9448 4.3571 10.8497 90.00 90.00 90.00
Space group Amm2 (No. 38)
Unique sites:
1 Dy 0.0000 0.0000 0.0000 x2
2 Pu 0.5000 0.0000 0.7202 x2
3 Ge 0.0000 0.0000 0.2804 x2
4 Ge 0.5000 0.0000 0.4435 x2

=====

[3]
## Ti8Si2O (PBE-GGA)

Data for crystalline Ti8Si2O at its relaxed geometry.

Results
Crystal system ... monoclinic
Formation energy without anion corrections ... -7.10 eV per formula unit

Lattice parameters (Å, degrees): 14.7594 4.3977 5.3184 90.00 109.60 90.00
Space group C2/m (No. 12)
Unique sites:
1 Ti 0.0085 0.0000 0.2533 x4
2 Ti 0.0846 0.5000 0.7300 x4
3 Ti 0.1321 0.5000 0.2833 x4
4 Ti 0.2209 0.0000 0.1435 x4
5 Si 0.1708 0.0000 0.6244 x4
6 O 0.0000 0.5000 0.0000 x2

=====

[4]
## KNbF3 (PBE-GGA)

Data for crystalline KNbF3 at its relaxed geometry.

Results
E above lowest polymorph ... 0.000 eV per atom
Crystal system ... cubic
Formation energy without anion corrections ... -11.06 eV per formula unit

Lattice parameters (Å, degrees): 4.4405 4.4405 4.4405 90.00 90.00 90.00
Space group Pm-3m (No. 221)
Unique sites:
1 K 0.0000 0.0000 0.0000 x1
2 Nb 0.5000 0.5000 0.5000 x1
3 F 0.0000 0.5000 0.5000 x3

=====

[5]
## ZnIn2Ru2 (PBE-GGA)

Data for crystalline ZnIn2Ru2 at its relaxed geometry.

Results
Energy of formation ... 0.00 eV per atom
Crystal system ... tetragonal

Lattice parameters (Å, degrees): 6.5888 6.5888 4.0998 90.00 90.00 90.00
Space group P4/mbm (No. 127)
Unique sites:
1 Zn 0.0000 0.0000 0.0000 x2
2 In 0.1672 0.3328 0.5000 x4
3 Ru 0.1375 0.6375 0.0000 x4

=====

[6]
## KBaW2 (PBE-GGA)

Data for crystalline KBaW2 at its relaxed geometry.

Results
Energy of formation ... 2.35 eV per atom
E above lowest polymorph ... 1.451 eV per atom
Crystal system ... tetragonal

Lattice parameters (Å, degrees): 9.1673 9.1673 5.5049 90.00 90.00 90.00
Space group I-42d (No. 122)
Unique sites:
1 K 0.0000 0.0000 0.0000 x4
2 Ba 0.0000 0.0000 0.5000 x4
3 W 0.2465 0.2500 0.1250 x8

=====

[7]
## Ta3Rh (PBE-GGA)

Data for crystalline Ta3Rh at its relaxed geometry.

Results
Energy of formation ... 1.93 eV per atom
Crystal system ... cubic

Lattice parameters (Å, degrees): 4.8465 4.8465 4.8465 90.00 90.00 90.00
Space group Pm-3m (No. 221)
Unique sites:
1 Ta 0.0000 0.0000 0.5000 x3
2 Rh 0.0000 0.0000 0.0000 x1

=====

[8]
## Li3Ho3HfTe8 (PBE-GGA)

Data for crystalline Li3Ho3HfTe8 at its relaxed geometry.

Results
Crystal system ... trigonal
Formation energy without anion corrections ... -17.73 eV per formula unit

Lattice parameters (Å, degrees): 8.5547 8.5547 21.2612 90.00 90.00 120.00
Space group R-3m (No. 166, hexagonal axes)
Unique sites:
1 Li 0.0000 0.5000 0.0000 x9
2 Ho 0.0000 0.5000 0.5000 x9
3 Hf 0.0000 0.0000 0.5000 x3
4 Te 0.0000 0.0000 0.2521 x6
5 Te 0.0140 0.5070 0.2486 x18

=====

[9]
## Al2HgRh2 (PBE-GGA)

Data for crystalline Al2HgRh2 at its relaxed geometry.

Results
Energy of formation ... -0.44 eV per atom
E above lowest polymorph ... 0.187 eV per atom
Crystal system ... tetragonal

Lattice parameters (Å, degrees): 3.8254 3.8254 11.6471 90.00 90.00 90.00
Space group I4/mmm (No. 139)
Unique sites:
1 Al 0.0000 0.5000 0.2500 x4
2 Hg 0.0000 0.0000 0.0000 x2
3 Rh 0.0000 0.0000 0.3860 x4

=====

[10]
## Tb13Ho2 (PBE-GGA)

Data for crystalline Tb13Ho2 at its relaxed geometry.

Results
Energy of formation ... 0.07 eV per atom
E above lowest polymorph ... 0.000 eV per atom
Crystal system ... triclinic

Lattice parameters (Å, degrees): 6.6055 8.9212 8.9242 65.92 81.75 81.75
Space group P-1 (No. 2)
Unique sites:
1 Tb 0.0000 0.0000 0.0000 x1
2 Tb 0.1035 0.4407 0.7581 x2
3 Tb 0.1977 0.1992 0.2016 x2
4 Tb 0.2943 0.6283 0.9749 x2
5 Tb 0.3068 0.9588 0.6384 x2
6 Tb 0.3986 0.3993 0.4017 x2
7 Tb 0.4938 0.1683 0.8350 x2
8 Ho 0.0971 0.7752 0.4259 x2

=====

[11]
## ScCdRhAu (PBE-GGA)

Data for crystalline ScCdRhAu at its relaxed geometry.

Results
Energy of formation ... -0.57 eV per atom
Crystal system ... tetragonal

Lattice parameters (Å, degrees): 4.2713 4.2713 7.7714 90.00 90.00 90.00
Space group I-4m2 (No. 119)
Unique sites:
1 Sc 0.0000 0.0000 0.0000 x2
2 Cd 0.0000 0.0000 0.5000 x2
3 Rh 0.0000 0.5000 0.2500 x2
4 Au 0.0000 0.5000 0.7500 x2

=====

[12]
## Sr2LiPb2 (PBE-GGA)

Data for crystalline Sr2LiPb2 at its relaxed geometry.

Results
Energy of formation ... -0.24 eV per atom
E above lowest polymorph ... 0.257 eV per atom
Crystal system ... tetragonal

Lattice parameters (Å, degrees): 9.9998 9.9998 3.6186 90.00 90.00 90.00
Space group P4/mbm (No. 127)
Unique sites:
1 Sr 0.1275 0.3725 0.0000 x4
2 Li 0.0000 0.0000 0.0000 x2
3 Pb 0.1742 0.6742 0.5000 x4

=====

[13]
## Ba3AgOs2O9 (PBE-GGA)

Data for crystalline Ba3AgOs2O9 at its relaxed geometry.

Results
Crystal system ... trigonal
Formation energy without anion corrections ... -25.19 eV per formula unit

Lattice parameters (Å, degrees): 5.8748 5.8748 7.3600 90.00 90.00 120.00
Space group P-3m1 (No. 164)
Unique sites:
1 Ba 0.0000 0.0000 0.0000 x1
2 Ba 0.3333 0.6667 0.6513 x2
3 Ag 0.0000 0.0000 0.5000 x1
4 Os 0.3333 0.6667 0.1490 x2
5 O 0.0000 0.5000 0.0000 x3
6 O 0.1807 0.3614 0.3002 x6

=====

[14]
## Cs2KIF8 (PBE-GGA)

Data for crystalline Cs2KIF8 at its relaxed geometry.

Results
Crystal system ... tetragonal
Formation energy without anion corrections ... -26.25 eV per formula unit

Lattice parameters (Å, degrees): 6.4742 6.4742 11.9259 90.00 90.00 90.00
Space group I-4m2 (No. 119)
Unique sites:
1 Cs 0.0000 0.0000 0.0000 x2
2 Cs 0.0000 0.5000 0.2500 x2
3 K 0.0000 0.0000 0.5000 x2
4 I 0.0000 0.5000 0.7500 x2
5 F 0.1885 0.3045 0.6457 x16

=====

[15]
## CdAs2P (PBE-GGA)

Data for crystalline CdAs2P at its relaxed geometry.

Results
Energy of formation ... 0.30 eV per atom
E above lowest polymorph ... 0.187 eV per atom
Crystal system ... monoclinic

Lattice parameters (Å, degrees): 11.0258 3.5437 4.6370 90.00 113.70 90.00
Space group C2/m (No. 12)
Unique sites:
1 Cd 0.0000 0.0000 0.0000 x2
2 As 0.1968 0.0000 0.6290 x4
3 P 0.0000 0.5000 0.5000 x2

=====

[16]
## AlCd2F2 (PBE-GGA)

Data for crystalline AlCd2F2 at its relaxed geometry.

Results
E above lowest polymorph ... 0.000 eV per atom
Crystal system ... tetragonal
Formation energy without anion corrections ... -4.44 eV per formula unit

Lattice parameters (Å, degrees): 7.6056 7.6056 2.9127 90.00 90.00 90.00
Space group P4/mbm (No. 127)
Unique sites:
1 Al 0.0000 0.0000 0.0000 x2
2 Cd 0.1572 0.3428 0.5000 x4
3 F 0.1199 0.6199 0.0000 x4

=====

[17]
## PrTm3Pb (PBE-GGA)

Data for crystalline PrTm3Pb at its relaxed geometry.

Results
Energy of formation ... -0.16 eV per atom
Crystal system ... monoclinic

Lattice parameters (Å, degrees): 7.9385 9.1903 10.2736 90.00 124.92 90.00
Space group P2_1/c (No. 14)
Unique sites:
1 Pr 0.2154 0.0802 0.3281 x4
2 Tm 0.0993 0.6774 0.0124 x4
3 Tm 0.2037 0.0780 0.9777 x4
4 Tm 0.4072 0.1172 0.7389 x4
5 Pb 0.3514 0.7110 0.3840 x4

=====

[18]
## SmCo9Ge4 (PBE-GGA)

Data for crystalline SmCo9Ge4 at its relaxed geometry.

Results
Energy of formation ... -0.27 eV per atom
Crystal system ... tetragonal

Lattice parameters (Å, degrees): 7.8745 7.8745 11.8082 90.00 90.00 90.00
Space group I4/mcm (No. 140)
Unique sites:
1 Sm 0.0000 0.0000 0.2500 x4
2 Co 0.0000 0.5000 0.0000 x4
3 Co 0.0664 0.1987 0.0000 x16
4 Co 0.1241 0.3759 0.1774 x16
5 Ge 0.1723 0.3277 0.3740 x16

=====

[19]
## Ho6PbSe8 (PBE-GGA)

Data for crystalline Ho6PbSe8 at its relaxed geometry.

Results
Crystal system ... trigonal
Formation energy without anion corrections ... -22.17 eV per formula unit

Lattice parameters (Å, degrees): 11.7559 11.7559 12.9787 90.00 90.00 120.00
Space group R-3 (No. 148, hexagonal axes)
Unique sites:
1 Ho 0.0063 0.8188 0.1230 x18
2 Pb 0.0000 0.0000 0.5000 x3
3 Se 0.0000 0.0000 0.2587 x6
4 Se 0.0041 0.7324 0.9188 x18

=====

[20]
## Tb2CeAu (PBE-GGA)

Data for crystalline Tb2CeAu at its relaxed geometry.

Results
Energy of formation ... -0.21 eV per atom
E above lowest polymorph ... 0.149 eV per atom
Crystal system ... trigonal

Lattice parameters (Å, degrees): 3.6773 3.6773 30.1410 90.00 90.00 120.00
Space group R3m (No. 160, hexagonal axes)
Unique sites:
1 Tb 0.0000 0.0000 0.0000 x3
2 Tb 0.0000 0.0000 0.1931 x3
3 Ce 0.0000 0.0000 0.4302 x3
4 Au 0.0000 0.0000 0.5960 x3

=====

[21]
## SiNi2Os (PBE-GGA)

Data for crystalline SiNi2Os at its relaxed geometry.

Results
Crystal system ... orthorhombic
Formation energy without anion corrections ... -0.23 eV per formula unit

Lattice parameters (Å, degrees): 2.6199 3.5683 5.1447 90.00 90.00 90.00
Space group Pmmm (No. 47)
Unique sites:
1 Si 0.0000 0.0000 0.0000 x1
2 Ni 0.5000 0.5000 0.2377 x2
3 Os 0.0000 0.0000 0.5000 x1

=====

[22]
## SmTe2Au (PBE-GGA)

Data for crystalline SmTe2Au at its relaxed geometry.

Results
Crystal system ... monoclinic
Formation energy without anion corrections ... -3.69 eV per formula unit

Lattice parameters (Å, degrees): 6.7402 7.8415 8.5814 90.00 90.11 90.00
Space group P2_1/c (No. 14)
Unique sites:
1 Sm 0.1792 0.0426 0.2504 x4
2 Te 0.0796 0.7500 0.0001 x4
3 Te 0.3623 0.0757 0.7509 x4
4 Au 0.4979 0.2493 0.5008 x4

=====

So what do the calculations give for total magnetic moment? Going down the list: 0.14; 1.50; 0.00; 0.60; 0.09; 0.64; 0.00; 0.00; 0.00; 0.00; 0.00; 0.00; 0.00; 0.00; 0.00; 0.00; 0.00; 0.50; 0.13; 0.39; 0.00; 0.00 μB per atom.
So what do the calculations give for total energy? Going down the list: -8.0035; -7.6625; -7.8236; -5.5690; -5.0591; -4.8853; -8.7948; -4.8193; -4.9359; -4.5557; -5.0368; -2.7779; -6.7259; -3.7979; -3.6082; -2.7519; -4.5363; -6.4906; -5.4148; -4.8303; -7.1117; -4.4920 eV per atom.
So what do the calculations give for volume? Going down the list: 19.029; 23.311; 14.781; 17.512; 17.798; 28.915; 28.459; 29.944; 17.044; 31.536; 17.723; 36.185; 14.666; 20.828; 20.736; 16.849; 30.728; 13.075; 34.519; 29.414; 12.024; 28.347 Å³/atom.